VASP calculation (PBE-GGA) on Sc2TlSb after structural relaxation.

Structure (POSCAR):
```
Sc2TlSb
1.0
4.078 0.000 0.000
0.000 4.078 0.000
0.000 0.000 5.963
Sc Tl Sb
2 1 1
direct
0.000 0.000 0.000 Sc
0.500 0.500 0.316 Sc
0.000 0.000 0.498 Tl
0.500 0.500 0.833 Sb
```

Results
For the mass density, the calculation gives 7.0 g/cm³. The total magnetization comes out at 0.00 Bohr magnetons per cell. As for the raw formation energy: -0.3953 eV per atom.



VASP calculation (PBE-GGA) on TcAuSe2N after structural relaxation.

Structure (POSCAR):
```
TcAuSe2N
1.0
5.298 0.000 0.000
0.000 5.298 0.000
0.000 0.000 3.752
Tc Au Se N
1 1 2 1
direct
0.000 0.000 0.000 Tc
0.500 0.500 0.500 Au
0.000 0.500 0.500 Se
0.500 0.000 0.500 Se
0.500 0.500 0.000 N
```

Results
For the mass density, the calculation gives 7.4 g/cm³. The total magnetization comes out at 4.15 Bohr magnetons per cell. As for the raw formation energy: 1.4787 eV per atom.